ZnTcIr2 (PBE, optimized geometry); energy of formation from the pure elements = 176 meV per atom; total magnetic moment = 0.85 Bohr magnetons per cell; raw total energy = -7.158 eV per atom
1.0
0.000 3.074 3.074
3.074 0.000 3.074
3.074 3.074 0.000
Ir Tc Zn
2 1 1
direct
0.750 0.750 0.750
0.000 0.000 0.000
0.500 0.500 0.500
0.250 0.250 0.250